A plane-wave DFT calculation with GGA-PBE was carried out for La2Pr2NdY4 after structural relaxation.

Cell lengths 3.6912, 9.7282, 9.7895 Å; angles 115.27, 90.00, 100.94 degrees
Fractional positions:
1 Nd 0.0000 0.0000 0.0000
2 Y 0.5203 0.0406 0.3337
3 Y 0.1851 0.3702 0.3371
4 La 0.6659 0.3318 0.0011
5 Pr 0.1475 0.2950 0.6639
6 Y 0.8149 0.6298 0.6629
7 Pr 0.8525 0.7050 0.3361
8 La 0.3341 0.6682 0.9989
9 Y 0.4797 0.9594 0.6663

The formation enthalpy at 0 K is -2 meV/atom. Its density is 5660 kg/m3. As for the density of states at the Fermi level: 13.55 states/eV/f.u. The symmetry is C2/m, No. 12. As for the total energy: -50.06 eV/cell.